Entry 1:
Compound: IrWS2
Source: the Alexandria database
Functional: GGA-PBE
Structure: relaxed

Summary:
Energy relative to the elements, uncorrected, kJ per mole of atoms: 15.12
Distance to the lowest polymorph of the same formula, eV per atom: 0.324

Cell lengths 6.425, 6.425, 6.425 Å; angles 130.75, 130.75, 72.20 degrees
Positions (direct):
Ir (0.000, 0.000, 0.000)
Ir (0.750, 0.250, 0.500)
W (0.250, 0.750, 0.500)
W (0.500, 0.500, 0.000)
S (0.124, 0.625, 0.999)
S (0.375, 0.374, 0.499)
S (0.626, 0.125, 0.001)
S (0.875, 0.876, 0.501)



Entry 2:
Compound: RhPbSe2
Source: the Alexandria database
Functional: GGA-PBE
Structure: relaxed

Summary:
Energy relative to the elements, uncorrected, kJ per mole of atoms: -25.70

Cell lengths 5.075, 5.075, 3.748 Å; angles 90.00, 90.00, 112.00 degrees
Positions (direct):
Rh (0.000, 0.000, 0.000)
Pb (0.500, 0.500, 0.000)
Se (0.196, 0.804, 0.500)
Se (0.804, 0.196, 0.500)



Entry 3:
Compound: NdHo14Zr
Source: the Alexandria database
Functional: GGA-PBE
Structure: relaxed

Summary:
Formation energy from the elements, eV/atom: 0.069

Cell lengths 10.939, 6.867, 6.867 Å; angles 73.21, 90.00, 90.00 degrees
Positions (direct):
Nd (0.000, 0.000, 0.000)
Ho (0.000, 0.071, 0.480)
Ho (0.000, 0.480, 0.071)
Ho (0.228, 0.763, 0.763)
Ho (0.242, 0.284, 0.696)
Ho (0.242, 0.696, 0.284)
Ho (0.273, 0.209, 0.209)
Ho (0.500, 0.424, 0.424)
Ho (0.500, 0.496, 0.903)
Ho (0.500, 0.903, 0.496)
Ho (0.500, 0.972, 0.972)
Ho (0.727, 0.209, 0.209)
Ho (0.758, 0.284, 0.696)
Ho (0.758, 0.696, 0.284)
Ho (0.772, 0.763, 0.763)
Zr (0.000, 0.559, 0.559)



Entry 4:
Compound: K3BOs
Source: the Alexandria database
Functional: GGA-PBE
Structure: relaxed

Summary:
Distance to the lowest polymorph of the same formula, eV per atom: 0.000
Formation energy from the elements, eV/atom: 1.992

Cell lengths 5.789, 5.789, 5.789 Å; angles 90.00, 90.00, 90.00 degrees
Positions (direct):
K (0.000, 0.000, 0.500)
K (0.000, 0.500, 0.000)
K (0.500, 0.000, 0.000)
B (0.000, 0.000, 0.000)
Os (0.500, 0.500, 0.500)



Entry 5:
Compound: K3TlCu2Cl6
Source: the Alexandria database
Functional: GGA-PBE
Structure: relaxed

Summary:
Energy relative to the elements, uncorrected, kJ per mole of atoms: -114.57

Cell lengths 7.755, 7.755, 8.484 Å; angles 90.00, 90.00, 120.00 degrees
Positions (direct):
K (0.000, 0.000, 0.000)
K (0.333, 0.667, 0.818)
K (0.667, 0.333, 0.182)
Tl (0.000, 0.000, 0.500)
Cu (0.333, 0.667, 0.241)
Cu (0.667, 0.333, 0.759)
Cl (0.169, 0.338, 0.234)
Cl (0.169, 0.831, 0.234)
Cl (0.338, 0.169, 0.766)
Cl (0.662, 0.831, 0.234)
Cl (0.831, 0.169, 0.766)
Cl (0.831, 0.662, 0.766)



Entry 6:
Compound: Dy2SbIr
Source: the Alexandria database
Functional: GGA-PBE
Structure: relaxed

Summary:
Energy relative to the elements, uncorrected, kJ per mole of atoms: -77.35
Distance to the lowest polymorph of the same formula, eV per atom: 0.158

Cell lengths 3.533, 3.533, 7.588 Å; angles 90.00, 90.00, 90.00 degrees
Positions (direct):
Dy (0.000, 0.000, 0.217)
Dy (0.000, 0.000, 0.783)
Sb (0.500, 0.500, 0.500)
Ir (0.500, 0.500, 0.000)



Entry 7:
Compound: CsBaNa10
Source: the Alexandria database
Functional: GGA-PBE
Structure: relaxed

Summary:
Formation energy from the elements, eV/atom: 0.024

Cell lengths 5.751, 7.384, 12.932 Å; angles 90.00, 90.00, 90.00 degrees
Positions (direct):
Cs (0.000, 0.000, 0.000)
Ba (0.000, 0.500, 0.500)
Na (0.000, 0.000, 0.339)
Na (0.000, 0.000, 0.661)
Na (0.000, 0.500, 0.175)
Na (0.000, 0.500, 0.825)
Na (0.500, 0.000, 0.500)
Na (0.500, 0.264, 0.270)
Na (0.500, 0.264, 0.730)
Na (0.500, 0.500, 0.000)
Na (0.500, 0.736, 0.270)
Na (0.500, 0.736, 0.730)



Entry 8:
Compound: LuGaCoAg
Source: the Alexandria database
Functional: GGA-PBE
Structure: relaxed

Summary:
Formation energy from the elements, eV/atom: -0.171

Cell lengths 4.572, 4.572, 4.572 Å; angles 60.00, 60.00, 60.00 degrees
Positions (direct):
Lu (0.000, 0.000, 0.000)
Ga (0.500, 0.500, 0.500)
Co (0.250, 0.250, 0.250)
Ag (0.750, 0.750, 0.750)



Number 1: theoretical density 9.82 g/cm3, total DFT energy (no corrections) -7.36 eV per atom. Number 2: theoretical density 8.69 g/cm3, total DFT energy (no corrections) -4.77 eV per atom. Number 3: theoretical density 8.55 g/cm3, total DFT energy (no corrections) -4.77 eV per atom. Number 4: theoretical density 2.72 g/cm3, total DFT energy (no corrections) -2.25 eV per atom. Number 5: theoretical density 2.49 g/cm3, total DFT energy (no corrections) -3.27 eV per atom. Number 6: theoretical density 11.20 g/cm3, total DFT energy (no corrections) -6.35 eV per atom. Number 7: theoretical density 1.51 g/cm3, total DFT energy (no corrections) -1.31 eV per atom. Number 8: theoretical density 10.11 g/cm3, total DFT energy (no corrections) -4.55 eV per atom.